Entry 1:
First-principles (PBE) data for a relaxed K6MgTe4 crystal, as listed in Alexandria via LeMat-Bulk.

Geometry as extended XYZ:
```
22
Lattice="11.126 0.000 0.000 -5.563 9.635 0.000 0.000 0.000 8.430" Properties=species:S:1:pos:R:3 pbc="T T T"
K -2.356 5.063 0.000
K 0.000 2.861 2.673
K -3.085 8.204 2.673
K 2.478 1.431 6.887
K 2.356 5.063 0.000
K 0.000 9.143 0.000
K 5.563 0.492 4.215
K 3.207 4.572 4.215
K 3.085 8.204 2.673
K 8.648 1.431 6.887
K 5.563 6.774 6.887
K 7.918 4.572 4.215
Mg 0.000 6.423 5.240
Mg 5.563 3.212 1.025
Te 0.000 3.704 6.079
Te -2.355 7.783 6.079
Te 0.000 6.423 2.374
Te 3.208 1.852 1.864
Te 2.355 7.783 6.079
Te 5.563 3.212 6.589
Te 7.918 1.852 1.864
Te 5.563 5.931 1.864
```

## Properties
- Formation energy from raw total energies: -1055 meV per atom
- Theoretical density: 2.8 Mg/m³

---

Entry 2:
First-principles (PBE) data for a relaxed RbAl2AsOs crystal, as listed in Alexandria via LeMat-Bulk.

Geometry as extended XYZ:
```
5
Lattice="5.426 0.000 0.000 0.000 5.426 0.000 0.000 0.000 4.910" Properties=species:S:1:pos:R:3 pbc="T T T"
Rb 0.000 0.000 0.000
Al 0.000 2.713 0.000
Al 2.713 0.000 0.000
As 2.713 2.713 2.455
Os 0.000 0.000 2.455
```

## Properties
- Total energy: -2.254 eV per atom
- Theoretical density: 4.6 Mg/m³

---

Entry 3:
First-principles (PBE) data for a relaxed NbAu2Cl crystal, as listed in Alexandria via LeMat-Bulk.

Geometry as extended XYZ:
```
16
Lattice="8.651 0.000 0.000 0.000 8.651 0.000 0.000 0.000 4.920" Properties=species:S:1:pos:R:3 pbc="T T T"
Nb 0.000 0.000 0.000
Nb 0.000 4.326 1.230
Nb 4.326 0.000 3.690
Nb 4.326 4.326 2.460
Au 1.568 2.163 0.615
Au 2.163 5.893 1.845
Au 2.163 7.083 4.305
Au 2.758 2.163 3.075
Au 5.893 6.488 3.075
Au 6.488 1.568 4.305
Au 6.488 2.758 1.845
Au 7.083 6.488 0.615
Cl 0.000 0.000 2.460
Cl 0.000 4.326 3.690
Cl 4.326 0.000 1.230
Cl 4.326 4.326 0.000
```

## Properties
- Formation energy from raw total energies: 216 meV per atom
- Theoretical density: 9.4 Mg/m³

---

Entry 4:
First-principles (PBE) data for a relaxed CaTl3Pb crystal, as listed in Alexandria via LeMat-Bulk.

Geometry as extended XYZ:
```
5
Lattice="5.947 0.000 0.000 0.000 5.947 0.000 0.000 0.000 5.947" Properties=species:S:1:pos:R:3 pbc="T T T"
Ca 0.000 0.000 0.000
Tl 0.000 2.974 2.974
Tl 2.974 0.000 2.974
Tl 2.974 2.974 0.000
Pb 2.974 2.974 2.974
```

## Properties
- Total energy: -2.283 eV per atom
- Theoretical density: 6.8 Mg/m³

---

Entry 5:
First-principles (PBE) data for a relaxed Li3H2Se crystal, as listed in Alexandria via LeMat-Bulk.

Geometry as extended XYZ:
```
12
Lattice="8.572 -1.611 0.000 8.572 1.611 0.000 -1.214 0.000 5.793" Properties=species:S:1:pos:R:3 pbc="T T T"
Li 0.488 0.000 1.212
Li 3.549 0.000 1.676
Li 6.439 0.000 0.840
Li 9.491 0.000 4.953
Li 12.380 0.000 4.116
Li 15.442 0.000 4.581
H 0.019 0.000 5.279
H 3.105 0.000 5.708
H 12.825 0.000 0.085
H 15.910 0.000 0.514
Se 5.553 0.000 3.217
Se 10.377 0.000 2.575
```

## Properties
- Total energy: -3.140 eV per atom
- Theoretical density: 2.1 Mg/m³

---

Entry 6:
First-principles (PBE) data for a relaxed Ce2Dy3Tc2 crystal, as listed in Alexandria via LeMat-Bulk.

Geometry as extended XYZ:
```
7
Lattice="3.850 0.000 0.000 -1.923 5.890 0.000 -1.923 -2.564 8.135" Properties=species:S:1:pos:R:3 pbc="T T T"
Ce -0.963 1.957 2.468
Ce 0.966 1.369 5.668
Dy -0.962 -1.282 4.068
Dy -0.963 -1.283 7.449
Dy 0.966 4.609 0.686
Tc 0.963 0.377 2.285
Tc -0.960 2.950 5.850
```

## Properties
- Total energy: -6.750 eV per atom
- Theoretical density: 8.7 Mg/m³

---

Entry 7:
First-principles (PBE) data for a relaxed LiAlCo4 crystal, as listed in Alexandria via LeMat-Bulk.

Geometry as extended XYZ:
```
6
Lattice="0.000 3.333 3.333 3.333 0.000 3.333 3.333 3.333 0.000" Properties=species:S:1:pos:R:3 pbc="T T T"
Li 0.000 0.000 0.000
Al 1.667 1.667 1.667
Co 4.166 2.501 2.501
Co 2.501 4.166 2.501
Co 2.501 2.501 4.166
Co 4.166 4.166 4.166
```

## Properties
- Total energy: -5.702 eV per atom
- Theoretical density: 6.0 Mg/m³

---

Entry 8:
First-principles (PBE) data for a relaxed PaBeB crystal, as listed in Alexandria via LeMat-Bulk.

Geometry as extended XYZ:
```
6
Lattice="2.843 0.000 0.000 0.000 2.843 0.000 0.000 0.000 9.928" Properties=species:S:1:pos:R:3 pbc="T T T"
Pa 0.000 0.000 0.000
Pa 1.421 1.421 4.964
Be 0.000 0.000 7.141
Be 1.421 1.421 2.177
B 0.000 0.000 2.947
B 1.421 1.421 7.911
```

## Properties
- Total energy: -6.172 eV per atom
- Theoretical density: 10.4 Mg/m³

---

Number 1: total magnetic moment 0.0 μB/f.u., D(E_F) 0.000 states/eV/f.u.. Number 2: total magnetic moment 0.3 μB/f.u., D(E_F) 4.302 states/eV/f.u.. Number 3: total magnetic moment 1.7 μB/f.u., D(E_F) 3.016 states/eV/f.u.. Number 4: total magnetic moment 0.0 μB/f.u., D(E_F) 4.123 states/eV/f.u.. Number 5: total magnetic moment 0.1 μB/f.u., D(E_F) 1.567 states/eV/f.u.. Number 6: total magnetic moment 0.0 μB/f.u., D(E_F) 7.545 states/eV/f.u.. Number 7: total magnetic moment 5.9 μB/f.u., D(E_F) 5.712 states/eV/f.u.. Number 8: total magnetic moment 0.0 μB/f.u., D(E_F) 3.362 states/eV/f.u..